# 1
## Tl2CoRh (PBE)

Data for a relaxed structure of Tl2CoRh.

* DOS at the Fermi energy: 1.042 states/eV/atom
* E above lowest polymorph: 0.000 eV per atom
* SG: Pmm2, No. 25
* energy relative to the elements: 0.3171 eV per atom

a b c (Å): 3.1409 3.2565 7.8366
angles (deg): 90.00 90.00 90.00
Closest atoms and distances in Å follow each position.
Fractional coordinates of all 4 atoms:
Tl1 0.0000 0.0000 0.0000  4 Rh 3.01, 1 Co 3.11, 4 Tl 3.14-3.26
Tl2 0.5000 0.5000 0.3567  4 Co 2.98, 1 Rh 3.06, 4 Tl 3.14-3.26
Co1 0.0000 0.0000 0.6033  4 Rh 2.53
Rh1 0.5000 0.5000 0.7466  4 Co 2.53

***

# 2
## TlCoRh2 (PBE)

Data for a relaxed structure of TlCoRh2.

* DOS at the Fermi energy: 1.598 states/eV/atom
* SG: Cm, No. 8
* energy relative to the elements: 0.2818 eV per atom

a b c (Å): 4.7799 4.7799 4.8123
angles (deg): 100.90 100.90 35.48
Closest atoms and distances in Å follow each position.
Fractional coordinates of all 4 atoms:
Tl1 0.0000 0.0000 0.0000  7 Rh 2.75-2.86, 3 Co 2.86-2.87, 2 Tl 2.91
Co1 0.2438 0.2438 0.7066  5 Rh 2.61-2.73, 3 Tl 2.86-2.87, 2 Co 2.91
Rh1 0.5063 0.5063 0.5136  3 Co 2.62-2.73, 5 Rh 2.76-2.91, 4 Tl 2.77-2.86
Rh2 0.7576 0.7576 0.2619  2 Co 2.61, 3 Tl 2.75-2.83, 5 Rh 2.76-2.91

***

# 3
## Tl2CoRh (PBE)

Data for a relaxed structure of Tl2CoRh.

* DOS at the Fermi energy: 0.890 states/eV/atom
* E above lowest polymorph: 0.124 eV per atom
* SG: C2/m, No. 12
* energy relative to the elements: 0.4408 eV per atom

a b c (Å): 4.5188 4.5188 5.5749
angles (deg): 101.97 101.97 41.79
Closest atoms and distances in Å follow each position.
Fractional coordinates of all 4 atoms:
Tl1 0.2471 0.2471 0.2430  3 Co 2.74-2.77, 3 Rh 2.78-2.80
Tl2 0.7529 0.7529 0.7570  3 Co 2.74-2.77, 3 Rh 2.78-2.80
Co1 0.5000 0.5000 0.0000  6 Tl 2.74-2.77
Rh1 0.0000 0.0000 0.5000  6 Tl 2.78-2.80

***

# 4
## Tl2CoRh (PBE)

Data for a relaxed structure of Tl2CoRh.

* DOS at the Fermi energy: 0.739 states/eV/atom
* E above lowest polymorph: 0.048 eV per atom
* SG: P4/mmm, No. 123
* energy relative to the elements: 0.3653 eV per atom

a b c (Å): 3.2628 3.2628 6.5511
angles (deg): 90.00 90.00 90.00
Closest atoms and distances in Å follow each position.
Fractional coordinates of all 4 atoms:
Tl1 0.0000 0.0000 0.2407  4 Co 2.79, 4 Rh 2.87
Tl2 0.0000 0.0000 0.7593  4 Co 2.79, 4 Rh 2.87
Co1 0.5000 0.5000 0.0000  8 Tl 2.79
Rh1 0.5000 0.5000 0.5000  8 Tl 2.87

***

# 5
## Tl2CoRh2 (PBE)

Data for a relaxed structure of Tl2CoRh2.

* DOS at the Fermi energy: 0.995 states/eV/atom
* E above lowest polymorph: 0.000 eV per atom
* SG: P4/mbm, No. 127
* energy relative to the elements: 0.2660 eV per atom

a b c (Å): 6.5772 6.5772 4.2057
angles (deg): 90.00 90.00 90.00
Closest atoms and distances in Å follow each position.
Fractional coordinates of all 10 atoms:
Tl1 0.1690 0.3310 0.0000  6 Rh 2.74-2.94
Tl2 0.3310 0.8310 0.0000  6 Rh 2.74-2.94
Tl3 0.6690 0.1690 0.0000  6 Rh 2.74-2.94
Tl4 0.8310 0.6690 0.0000  6 Rh 2.74-2.94
Co1 0.0000 0.0000 0.5000  4 Rh 2.53
Co2 0.5000 0.5000 0.5000  4 Rh 2.53
Rh1 0.1429 0.6429 0.5000  2 Co 2.53, 1 Rh 2.66, 2 Tl 2.74
Rh2 0.3571 0.1429 0.5000  2 Co 2.53, 1 Rh 2.66, 2 Tl 2.74
Rh3 0.6429 0.8571 0.5000  2 Co 2.53, 1 Rh 2.66, 2 Tl 2.74
Rh4 0.8571 0.3571 0.5000  2 Co 2.53, 1 Rh 2.66, 2 Tl 2.74

***

# 6
## TlCo2Rh (PBE)

Data for a relaxed structure of TlCo2Rh.

* DOS at the Fermi energy: 1.486 states/eV/atom
* E above lowest polymorph: 0.325 eV per atom
* SG: I-42d, No. 122
* energy relative to the elements: 0.6267 eV per atom

a b c (Å): 9.5557 9.5557 9.5557
angles (deg): 156.93 156.93 32.85
Closest atoms and distances in Å follow each position.
Fractional coordinates of all 8 atoms:
Tl1 0.0000 0.0000 0.0000  4 Rh 2.70, 4 Co 2.78
Tl2 0.7500 0.2500 0.5000  4 Rh 2.70, 4 Co 2.78
Co1 0.2028 0.6250 0.0778  2 Co 2.32, 2 Rh 2.57
Co2 0.3750 0.4528 0.5778  2 Co 2.32, 2 Rh 2.57
Co3 0.5472 0.1250 0.9222  2 Co 2.32, 2 Rh 2.57
Co4 0.8750 0.7972 0.4222  2 Co 2.32, 2 Rh 2.57
Rh1 0.2500 0.7500 0.5000  4 Co 2.57, 4 Tl 2.70
Rh2 0.5000 0.5000 0.0000  4 Co 2.57, 4 Tl 2.70

***

# 7
## TlCo2Rh (PBE)

Data for a relaxed structure of TlCo2Rh.

* DOS at the Fermi energy: 1.489 states/eV/atom
* E above lowest polymorph: 0.061 eV per atom
* SG: Cm, No. 8
* energy relative to the elements: 0.3623 eV per atom

a b c (Å): 4.6926 4.6926 4.6904
angles (deg): 104.63 104.63 36.69
Closest atoms and distances in Å follow each position.
Fractional coordinates of all 4 atoms:
Tl1 0.0000 0.0000 0.0000  7 Co 2.74-2.81, 3 Rh 2.76-2.84, 2 Tl 2.95
Co1 0.4846 0.4846 0.4822  2 Co 2.43, 2 Rh 2.63
Co2 0.7649 0.7649 0.2815  2 Co 2.43, 2 Rh 2.57
Rh1 0.2311 0.2311 0.7087  5 Co 2.57-2.74, 3 Tl 2.76-2.84

***

# 8
## TlCoRh2 (PBE)

Data for a relaxed structure of TlCoRh2.

* DOS at the Fermi energy: 1.480 states/eV/atom
* SG: I-42d, No. 122
* energy relative to the elements: 0.5848 eV per atom

a b c (Å): 9.3897 9.3897 9.3897
angles (deg): 155.93 155.93 34.30
Closest atoms and distances in Å follow each position.
Fractional coordinates of all 8 atoms:
Tl1 0.0000 0.0000 0.0000  4 Rh 2.70, 4 Co 2.77
Tl2 0.7500 0.2500 0.5000  4 Rh 2.70, 4 Co 2.77
Co1 0.2500 0.7500 0.5000  4 Rh 2.58, 4 Tl 2.77
Co2 0.5000 0.5000 0.0000  4 Rh 2.58, 4 Tl 2.77
Rh1 0.1666 0.6250 0.0416  2 Rh 2.55, 2 Co 2.58, 2 Tl 2.70
Rh2 0.3750 0.4166 0.5416  2 Rh 2.55, 2 Co 2.58, 2 Tl 2.70
Rh3 0.5834 0.1250 0.9584  2 Rh 2.55, 2 Co 2.58, 2 Tl 2.70
Rh4 0.8750 0.8334 0.4584  2 Rh 2.55, 2 Co 2.58, 2 Tl 2.70

***

# 9
## Tl2CoRh (PBE)

Data for a relaxed structure of Tl2CoRh.

* DOS at the Fermi energy: 1.931 states/eV/atom
* E above lowest polymorph: 0.328 eV per atom
* SG: F-43m, No. 216
* energy relative to the elements: 0.6455 eV per atom

a b c (Å): 4.7513 4.7513 4.7513
angles (deg): 60.00 60.00 60.00
Closest atoms and distances in Å follow each position.
Fractional coordinates of all 4 atoms:
Tl1 0.0000 0.0000 0.0000  4 Tl 2.91, 4 Co 2.91
Tl2 0.2500 0.2500 0.2500  4 Tl 2.91, 4 Rh 2.91
Co1 0.7500 0.7500 0.7500  4 Tl 2.91, 4 Rh 2.91
Rh1 0.5000 0.5000 0.5000  4 Tl 2.91, 4 Co 2.91

***

# 10
## TlCo2Rh (PBE)

Data for a relaxed structure of TlCo2Rh.

* DOS at the Fermi energy: 1.759 states/eV/atom
* E above lowest polymorph: 0.041 eV per atom
* SG: I-4m2, No. 119
* energy relative to the elements: 0.3420 eV per atom

a b c (Å): 4.7362 4.7362 4.7362
angles (deg): 131.38 131.38 71.21
Closest atoms and distances in Å follow each position.
Fractional coordinates of all 4 atoms:
Tl1 0.0000 0.0000 0.0000  4 Rh 2.74, 8 Co 2.74-2.76
Co1 0.2500 0.7500 0.5000  4 Co 2.74, 4 Tl 2.74, 4 Rh 2.76
Co2 0.5000 0.5000 0.0000  4 Co 2.74, 4 Rh 2.74, 4 Tl 2.76
Rh1 0.7500 0.2500 0.5000  8 Co 2.74-2.76, 4 Tl 2.74

***

# 11
## TlCo2Rh (PBE)

Data for a relaxed structure of TlCo2Rh.

* DOS at the Fermi energy: 1.748 states/eV/atom
* E above lowest polymorph: 0.068 eV per atom
* SG: P4/mmm, No. 123
* energy relative to the elements: 0.3690 eV per atom

a b c (Å): 3.8541 3.8541 3.9665
angles (deg): 90.00 90.00 90.00
Closest atoms and distances in Å follow each position.
Fractional coordinates of all 4 atoms:
Tl1 0.0000 0.0000 0.0000  4 Rh 2.73, 8 Co 2.77
Co1 0.0000 0.5000 0.5000  4 Co 2.73, 4 Tl 2.77, 4 Rh 2.77
Co2 0.5000 0.0000 0.5000  4 Co 2.73, 4 Tl 2.77, 4 Rh 2.77
Rh1 0.5000 0.5000 0.0000  4 Tl 2.73, 8 Co 2.77

***

# 12
## Tl2CoRh2 (PBE)

Data for a relaxed structure of Tl2CoRh2.

* DOS at the Fermi energy: 1.082 states/eV/atom
* E above lowest polymorph: 0.249 eV per atom
* SG: P4/mbm, No. 127
* energy relative to the elements: 0.5147 eV per atom

a b c (Å): 7.6361 7.6361 3.1596
angles (deg): 90.00 90.00 90.00
Closest atoms and distances in Å follow each position.
Fractional coordinates of all 10 atoms:
Tl1 0.1555 0.3445 0.0000  6 Rh 2.68-2.78, 2 Co 2.89
Tl2 0.3445 0.8445 0.0000  6 Rh 2.68-2.78, 2 Co 2.89
Tl3 0.6555 0.1555 0.0000  6 Rh 2.68-2.78, 2 Co 2.89
Tl4 0.8445 0.6555 0.0000  6 Rh 2.68-2.78, 2 Co 2.89
Co1 0.0000 0.0000 0.0000  4 Tl 2.89, 2 Co 3.16
Co2 0.5000 0.5000 0.0000  4 Tl 2.89, 2 Co 3.16
Rh1 0.1442 0.6442 0.5000  6 Tl 2.68-2.78
Rh2 0.3558 0.1442 0.5000  6 Tl 2.68-2.78
Rh3 0.6442 0.8558 0.5000  6 Tl 2.68-2.78
Rh4 0.8558 0.3558 0.5000  6 Tl 2.68-2.78

***

# 13
## TlCoRh2 (PBE)

Data for a relaxed structure of TlCoRh2.

* DOS at the Fermi energy: 1.094 states/eV/atom
* SG: R-3m, No. 166
* energy relative to the elements: 0.3591 eV per atom

a b c (Å): 8.6748 8.6748 8.6748
angles (deg): 19.53 19.53 19.53
Closest atoms and distances in Å follow each position.
Fractional coordinates of all 4 atoms:
Tl1 0.0000 0.0000 0.0000  6 Rh 2.88, 6 Tl 2.94
Co1 0.5000 0.5000 0.5000  6 Rh 2.57
Rh1 0.2421 0.2421 0.2421  3 Co 2.57
Rh2 0.7579 0.7579 0.7579  3 Co 2.57

***

# 14
## TlCoRh2 (PBE)

Data for a relaxed structure of TlCoRh2.

* DOS at the Fermi energy: 1.314 states/eV/atom
* SG: F-43m, No. 216
* energy relative to the elements: 0.3399 eV per atom

a b c (Å): 4.4540 4.4540 4.4540
angles (deg): 60.00 60.00 60.00
Closest atoms and distances in Å follow each position.
Fractional coordinates of all 4 atoms:
Tl1 0.0000 0.0000 0.0000  4 Co 2.73, 4 Rh 2.73
Co1 0.7500 0.7500 0.7500  4 Tl 2.73, 4 Rh 2.73
Rh1 0.2500 0.2500 0.2500  4 Tl 2.73, 4 Rh 2.73
Rh2 0.5000 0.5000 0.5000  4 Co 2.73, 4 Rh 2.73